{
  "formula": "Li2CrAg2F6",
  "functional": "PBE+U",
  "state": "optimized geometry",
  "sg": "R-3m (166)",
  "magmom_total_mub_per_atom": 0.270,
  "energy_ev_per_atom": -4.600,
  "lattice": [[2.8974, 1.6728, 6.0260], [-2.8974, 1.6728, 6.0260], [0.0000, -3.3456, 6.0260]],
  "species": ["Li", "Li", "Cr", "Ag", "Ag", "F", "F", "F", "F", "F", "F"],
  "fractional_positions": [[0.1107, 0.1107, 0.1107], [0.8893, 0.8893, 0.8893], [0.5000, 0.5000, 0.5000], [0.3159, 0.3159, 0.3159], [0.6841, 0.6841, 0.6841], [0.2541, 0.7197, 0.7197], [0.2803, 0.2803, 0.7459], [0.2803, 0.7459, 0.2803], [0.7197, 0.2541, 0.7197], [0.7197, 0.7197, 0.2541], [0.7459, 0.2803, 0.2803]]
}